[1]
# Ca2MgGa3Au4

Ca2MgGa3Au4 after structural relaxation (PBE, the Alexandria database).

Output
M_tot = 0.0000 μB per atom
ΔH_f (0 K) = -0.590 eV/atom
D(E_F) = 0.4947 states/eV/atom
E_tot = -3.369 eV/atom

Cell lengths 4.3066, 4.3066, 11.4932 Å; angles 90.00, 90.00, 90.00 degrees
Fractional positions:
Ca  0.0000  0.5000  0.2383
Ca  0.5000  0.0000  0.7617
Mg  0.0000  0.0000  0.5000
Ga  0.0000  0.5000  0.8670
Ga  0.5000  0.0000  0.1330
Ga  0.5000  0.5000  0.5000
Au  0.0000  0.0000  0.0000
Au  0.0000  0.5000  0.6455
Au  0.5000  0.0000  0.3545
Au  0.5000  0.5000  0.0000

[2]
# CaMgGa2Au

CaMgGa2Au after structural relaxation (PBE, the Alexandria database).

Output
M_tot = 0.0000 μB per atom
ΔH_f (0 K) = 0.583 eV/atom
D(E_F) = 0.7606 states/eV/atom
E_tot = -2.003 eV/atom

Cell lengths 5.5491, 5.5491, 5.3053 Å; angles 90.00, 90.00, 90.00 degrees
Fractional positions:
Ca  0.0000  0.0000  0.0000
Mg  0.5000  0.5000  0.5000
Ga  0.0000  0.5000  0.0000
Ga  0.5000  0.0000  0.0000
Au  0.0000  0.0000  0.5000

[3]
# Ca2MgGa3Au12

Ca2MgGa3Au12 after structural relaxation (PBE, the Alexandria database).

Output
M_tot = 0.0000 μB per atom
ΔH_f (0 K) = -0.152 eV/atom
D(E_F) = 0.4708 states/eV/atom
E_tot = -3.152 eV/atom

Cell lengths 8.0991, 8.0991, 8.0991 Å; angles 65.13, 65.13, 65.13 degrees
Fractional positions:
Ca  0.1059  0.1059  0.1059
Ca  0.8941  0.8941  0.8941
Mg  0.5000  0.5000  0.5000
Ga  0.0000  0.5000  0.5000
Ga  0.5000  0.0000  0.5000
Ga  0.5000  0.5000  0.0000
Au  0.1228  0.6396  0.6396
Au  0.1387  0.1387  0.6174
Au  0.1387  0.6174  0.1387
Au  0.3604  0.3604  0.8772
Au  0.3604  0.8772  0.3604
Au  0.3826  0.8613  0.8613
Au  0.6174  0.1387  0.1387
Au  0.6396  0.1228  0.6396
Au  0.6396  0.6396  0.1228
Au  0.8613  0.3826  0.8613
Au  0.8613  0.8613  0.3826
Au  0.8772  0.3604  0.3604

[4]
# CaMg2Ga2Au2

CaMg2Ga2Au2 after structural relaxation (PBE, the Alexandria database).

Output
M_tot = 0.0000 μB per atom
ΔH_f (0 K) = -0.530 eV/atom
D(E_F) = 0.3576 states/eV/atom
E_tot = -3.073 eV/atom

Cell lengths 8.6468, 8.6468, 8.6468 Å; angles 30.39, 30.39, 30.39 degrees
Fractional positions:
Ca  0.0000  0.0000  0.0000
Mg  0.1337  0.1337  0.1337
Mg  0.8663  0.8663  0.8663
Ga  0.4103  0.4103  0.4103
Ga  0.5897  0.5897  0.5897
Au  0.2476  0.2476  0.2476
Au  0.7524  0.7524  0.7524

[5]
# CaMgGaAu6

CaMgGaAu6 after structural relaxation (PBE, the Alexandria database).

Output
M_tot = 0.0000 μB per atom
ΔH_f (0 K) = -0.344 eV/atom
D(E_F) = 0.3495 states/eV/atom
E_tot = -3.265 eV/atom

Cell lengths 8.0627, 8.0627, 8.0627 Å; angles 125.89, 108.25, 95.78 degrees
Fractional positions:
Ca  0.4690  0.2190  0.2500
Ca  0.5310  0.7810  0.7500
Mg  0.0000  0.0000  0.5000
Mg  0.0000  0.5000  0.0000
Ga  0.0000  0.0000  0.0000
Ga  0.5000  0.0000  0.5000
Au  0.1455  0.4336  0.3220
Au  0.1455  0.8235  0.7119
Au  0.1792  0.9292  0.2500
Au  0.2152  0.4652  0.7500
Au  0.3885  0.1765  0.8220
Au  0.3885  0.5664  0.2119
Au  0.6115  0.4336  0.7881
Au  0.6115  0.8235  0.1780
Au  0.7848  0.5348  0.2500
Au  0.8208  0.0708  0.7500
Au  0.8545  0.1765  0.2881
Au  0.8545  0.5664  0.6780

[6]
# Ca2MnGa3Au12

Ca2MnGa3Au12 after structural relaxation (PBE, the Alexandria database).

Output
M_tot = 0.1876 μB per atom
ΔH_f (0 K) = -0.210 eV/atom
D(E_F) = 0.5195 states/eV/atom
E_tot = -3.631 eV/atom

Cell lengths 13.0307, 13.0307, 13.0307 Å; angles 26.12, 26.12, 26.12 degrees
Fractional positions:
Ca  0.1428  0.1428  0.1428
Ca  0.8572  0.8572  0.8572
Mn  0.5000  0.5000  0.5000
Ga  0.0000  0.5000  0.5000
Ga  0.5000  0.0000  0.5000
Ga  0.5000  0.5000  0.0000
Au  0.1058  0.1058  0.6276
Au  0.1058  0.6276  0.1058
Au  0.1102  0.6178  0.6178
Au  0.3724  0.8942  0.8942
Au  0.3822  0.3822  0.8898
Au  0.3822  0.8898  0.3822
Au  0.6178  0.1102  0.6178
Au  0.6178  0.6178  0.1102
Au  0.6276  0.1058  0.1058
Au  0.8898  0.3822  0.3822
Au  0.8942  0.3724  0.8942
Au  0.8942  0.8942  0.3724